Record 1
This record from the Alexandria database describes a geometry-optimized BaLaRu structure. The functional is PBE-GGA.

Unit cell a=4.3858 b=4.3858 c=6.5948 alpha=90.00 beta=90.00 gamma=120.00
Closest atoms and distances in Å follow each position.
Space group P3m1 (No. 156)
Unique sites:
Ba1 0.0000 0.0000 0.0000 [1 per cell]  3 Ru 3.34
La1 0.6667 0.3333 0.5408 [1 per cell]  3 Ru 2.67
Ru1 0.3333 0.6667 0.6704 [1 per cell]  3 La 2.67

Results
**Energy above the most stable polymorph in this dataset**: 12 meV per atom
**Energy relative to the elements**: 0.06 eV/atom
**DFT total energy**: -5.316 eV/atom



Record 2
This record from the Alexandria database describes a geometry-optimized Hf3CoN structure. The functional is PBE-GGA.

Unit cell a=4.3418 b=4.3418 c=4.3418 alpha=90.00 beta=90.00 gamma=90.00
Closest atoms and distances in Å follow each position.
Space group Pm-3m (No. 221)
Unique sites:
Hf1 0.0000 0.0000 0.5000 [3 per cell]  2 N 2.17
Co1 0.5000 0.5000 0.5000 [1 per cell]  12 Hf 3.07
N1 0.0000 0.0000 0.0000 [1 per cell]  6 Hf 2.17

Results
**Energy relative to the elements, uncorrected**: -0.67 eV/atom
**DFT total energy**: -9.729 eV/atom



Record 3
This record from the Alexandria database describes a geometry-optimized TiV9W2 structure. The functional is PBE-GGA.

Unit cell a=5.0537 b=5.0537 c=23.7098 alpha=90.00 beta=90.00 gamma=120.00
Closest atoms and distances in Å follow each position.
Space group R-3m (No. 166, hexagonal axes)
Unique sites:
Ti1 0.0000 0.0000 0.0000 [3 per cell]  18 V 2.92-3.21
V1 0.0000 0.0000 0.3327 [6 per cell]  6 V 2.44-2.48
V2 0.0000 0.0000 0.5000 [3 per cell]  6 V 2.46
V3 0.0028 0.5014 0.9163 [18 per cell]  7 V 2.44-2.55
W1 0.0000 0.0000 0.1458 [6 per cell]  12 V 2.85-2.96, 3 W 3.08

Results
**Energy relative to the elements**: 0.14 eV/atom
**DFT total energy**: -9.513 eV/atom



Record 4
This record from the Alexandria database describes a geometry-optimized Ti3Ge4 structure. The functional is PBE-GGA.

Unit cell a=3.4275 b=3.4275 c=19.5814 alpha=90.00 beta=90.00 gamma=90.00
Closest atoms and distances in Å follow each position.
Space group I4/mmm (No. 139)
Unique sites:
Ti1 0.0000 0.0000 0.0000 [2 per cell]  10 Ge 2.80-2.91
Ti2 0.0000 0.0000 0.2847 [4 per cell]  6 Ge 2.67-2.81, 4 Ti 2.78
Ge1 0.0000 0.0000 0.1485 [4 per cell]  6 Ti 2.67-2.91, 4 Ge 2.85
Ge2 0.0000 0.0000 0.4281 [4 per cell]  5 Ti 2.80-2.81, 5 Ge 2.81-2.85

Results
**Energy relative to the elements**: -0.31 eV/atom
**DFT total energy**: -6.328 eV/atom